(1)
The following is a DFT calculation (PBE) of a relaxed structure of BeNbH.

Cell lengths 2.7121, 2.7121, 4.9549 Å; angles 105.88, 105.88, 90.00 degrees
Atoms (fractional coordinates):
Nb1 0.7083 0.7083 0.4166
Be1 0.0006 0.0006 0.0013
H1 0.2911 0.2911 0.5822

As for the symmetry: I4mm, No. 107. The crystal system is tetragonal. The calculation puts the relative energy among the computed polymorphs at 0.6420 eV per atom. The total energy is -16.3 eV per cell. Its volume is 11.2 A^3/atom.

(2)
The following is a DFT calculation (PBE) of a relaxed structure of RbPaHgS4.

Cell lengths 7.5015, 9.0691, 8.1705 Å; angles 116.77, 90.00, 114.43 degrees
Atoms (fractional coordinates):
Pa1 0.5000 0.0000 0.0000
Pa2 0.5000 0.0000 0.5000
Rb1 0.8344 0.6687 0.0844
Rb2 0.1656 0.3313 0.9156
S1 0.6880 0.3760 0.6503
S2 0.7242 0.0041 0.7521
S3 0.3120 0.6240 0.7743
S4 0.2799 0.0041 0.7521
S5 0.2758 0.9959 0.2479
S6 0.7201 0.9959 0.2479
S7 0.3120 0.6240 0.3497
S8 0.6880 0.3760 0.2257
Hg1 0.5000 0.5000 0.5000
Hg2 0.0000 0.5000 0.5000

As for the symmetry: Imma, No. 74. The crystal system is orthorhombic. The raw formation energy comes out at -1.038 eV/atom. The total energy is -69.1 eV per cell. Its volume is 31.4 A^3/atom.

(3)
The following is a DFT calculation (PBE) of a relaxed structure of SmTm2Th.

Cell lengths 4.9366, 5.0440, 5.0440 Å; angles 90.00, 90.00, 90.00 degrees
Atoms (fractional coordinates):
Tm1 0.0000 0.5000 0.0000
Tm2 0.0000 0.0000 0.5000
Th1 0.5000 0.0000 0.0000
Sm1 0.5000 0.5000 0.5000

As for the symmetry: P4/mmm, No. 123. The crystal system is tetragonal. The calculation puts the relative energy among the computed polymorphs at 0.0231 eV per atom. The total energy is -20.9 eV per cell. The calculation puts the formation energy at 36.2 meV per atom. Its volume is 31.4 A^3/atom.

(4)
The following is a DFT calculation (PBE) of a relaxed structure of Pm5Pr12Hg2.

Cell lengths 9.4954, 9.1973, 8.7386 Å; angles 93.22, 90.00, 121.08 degrees
Atoms (fractional coordinates):
Pr1 0.6675 0.7031 0.7649
Pr2 0.4441 0.8882 0.6887
Pr3 0.4299 0.2466 0.6610
Pr4 0.5559 0.1118 0.3113
Pr5 0.0356 0.7031 0.7649
Pr6 0.1834 0.7534 0.3390
Pr7 0.9644 0.2969 0.2351
Pr8 0.8166 0.2466 0.6610
Pr9 0.5701 0.7534 0.3390
Pr10 0.3325 0.2969 0.2351
Pr11 0.0806 0.1611 0.8835
Pr12 0.9194 0.8389 0.1165
Pm1 0.6858 0.3716 0.0069
Pm2 0.7661 0.5321 0.4167
Pm3 0.0000 0.0000 0.5000
Pm4 0.2339 0.4679 0.5833
Pm5 0.3142 0.6284 0.9931
Hg1 0.3149 0.0000 0.0000
Hg2 0.6851 0.0000 0.0000

As for the symmetry: C2/m, No. 12. The crystal system is monoclinic. The total energy is -81.8 eV per cell. The calculation puts the formation energy at -4.3 meV per atom. Its volume is 34.3 A^3/atom.

(5)
The following is a DFT calculation (PBE) of a relaxed structure of CeThS4.

Cell lengths 4.6853, 4.6853, 6.6095 Å; angles 90.07, 90.07, 90.00 degrees
Atoms (fractional coordinates):
S1 0.9997 0.5002 0.2527
S2 0.0003 0.4998 0.7473
S3 0.5002 0.9997 0.2527
S4 0.4998 0.0003 0.7473
Ce1 0.5000 0.5000 0.5000
Th1 0.0000 0.0000 0.0000

As for the symmetry: C2/m, No. 12. The crystal system is monoclinic. The raw formation energy comes out at -1.895 eV/atom. The total energy is -41.2 eV per cell. Its volume is 24.2 A^3/atom.

(6)
The following is a DFT calculation (PBE) of a relaxed structure of KNa2Si2.

Cell lengths 8.4231, 8.4231, 3.8356 Å; angles 90.00, 90.00, 90.00 degrees
Atoms (fractional coordinates):
K1 0.5000 0.5000 0.0000
K2 0.0000 0.0000 0.0000
Si1 0.9032 0.5968 0.0000
Si2 0.4032 0.9032 0.0000
Si3 0.0968 0.4032 0.0000
Si4 0.5968 0.0968 0.0000
Na1 0.3147 0.1853 0.5000
Na2 0.8147 0.3147 0.5000
Na3 0.1853 0.6853 0.5000
Na4 0.6853 0.8147 0.5000

As for the symmetry: P4/mbm, No. 127. The crystal system is tetragonal. The calculation puts the relative energy among the computed polymorphs at 0.1546 eV per atom. The raw formation energy comes out at 0.194 eV/atom. The total energy is -27.2 eV per cell. Its volume is 27.2 A^3/atom.

(7)
The following is a DFT calculation (PBE) of a relaxed structure of NpTa2CrC4.

Cell lengths 3.1885, 5.7643, 10.9073 Å; angles 90.00, 90.00, 106.06 degrees
Last column: magnetic moment on the atom in μB.
Atoms (fractional coordinates):
Ta1 0.6298 0.2595 0.0432  -0.03
Ta2 0.6298 0.2595 0.4568  -0.03
Ta3 0.3702 0.7405 0.9568  -0.03
Ta4 0.3702 0.7405 0.5432  -0.03
Cr1 0.1609 0.3218 0.2500  0.30
Cr2 0.8391 0.6782 0.7500  0.30
C1 0.2659 0.5318 0.3819  -0.03
C2 0.0000 0.0000 0.0000  -0.01
C3 0.2659 0.5318 0.1181  -0.03
C4 0.7341 0.4682 0.8819  -0.03
C5 0.0000 0.0000 0.5000  -0.01
C6 0.7341 0.4682 0.6181  -0.03
C7 0.5626 0.1252 0.2500  -0.06
C8 0.4374 0.8748 0.7500  -0.06
Np1 0.1027 0.2053 0.7500  3.16
Np2 0.8973 0.7947 0.2500  3.16

As for the symmetry: Cmcm, No. 63. The crystal system is orthorhombic. The total energy is -170.7 eV per cell. The calculation puts the formation energy at -276.2 meV per atom. Its volume is 12.0 A^3/atom.

(8)
The following is a DFT calculation (PBE) of a relaxed structure of ZrTcSeBr2.

Cell lengths 5.3583, 5.3583, 5.2224 Å; angles 90.00, 90.00, 90.00 degrees
Last column: magnetic moment on the atom in μB.
Atoms (fractional coordinates):
Br1 0.0000 0.5000 0.0000  0.04
Br2 0.5000 0.0000 0.0000  0.04
Se1 0.0000 0.0000 0.5000  0.02
Zr1 0.0000 0.0000 0.0000  0.10
Tc1 0.5000 0.5000 0.5000  4.05

As for the symmetry: P4/mmm, No. 123. The crystal system is tetragonal. The calculation puts the relative energy among the computed polymorphs at 0.0000 eV per atom. The raw formation energy comes out at 0.256 eV/atom. The total energy is -24.5 eV per cell. Its volume is 30.0 A^3/atom.

(9)
The following is a DFT calculation (PBE) of a relaxed structure of Pm6Sm3Tm2.

Cell lengths 3.6147, 3.6147, 32.4693 Å; angles 86.81, 86.81, 60.00 degrees
Atoms (fractional coordinates):
Pm1 0.6360 0.6360 0.0919
Pm2 0.0919 0.0919 0.7243
Pm3 0.8178 0.8178 0.5466
Pm4 0.3640 0.3640 0.9081
Pm5 0.9081 0.9081 0.2757
Pm6 0.1822 0.1822 0.4534
Tm1 0.5452 0.5452 0.3644
Tm2 0.4548 0.4548 0.6356
Sm1 0.0000 0.0000 0.0000
Sm2 0.7279 0.7279 0.8164
Sm3 0.2721 0.2721 0.1836

As for the symmetry: R-3m, No. 166. The crystal system is trigonal. The calculation puts the relative energy among the computed polymorphs at 0.0000 eV per atom. The total energy is -51.4 eV per cell. The calculation puts the formation energy at 15.9 meV per atom. Its volume is 33.3 A^3/atom.

(10)
The following is a DFT calculation (PBE) of a relaxed structure of SrTcTe3.

Cell lengths 5.4168, 5.4168, 5.4168 Å; angles 90.00, 90.00, 90.00 degrees
Last column: magnetic moment on the atom in μB.
Atoms (fractional coordinates):
Tc1 0.0000 0.0000 0.0000  2.12
Te1 0.0000 0.0000 0.5000  0.03
Te2 0.5000 0.0000 0.0000  0.18
Te3 0.0000 0.5000 0.0000  0.08
Sr1 0.5000 0.5000 0.5000  0.03

As for the symmetry: Pm-3m, No. 221. The crystal system is cubic. The calculation puts the relative energy among the computed polymorphs at 0.0000 eV per atom. The raw formation energy comes out at -0.252 eV/atom. The total energy is -22.7 eV per cell. Its volume is 31.8 A^3/atom.

(11)
The following is a DFT calculation (PBE) of a relaxed structure of HoMnBe4.

Cell lengths 4.6402, 4.6402, 4.6402 Å; angles 60.00, 60.00, 60.00 degrees
Last column: magnetic moment on the atom in μB.
Atoms (fractional coordinates):
Be1 0.6285 0.6284 0.6284  -0.05
Be2 0.6285 0.1146 0.6284  -0.05
Be3 0.6285 0.6284 0.1146  -0.05
Be4 0.1146 0.6284 0.6284  -0.05
Mn1 0.0000 0.0000 0.0000  2.37
Ho1 0.2500 0.2500 0.2500  -0.11

As for the symmetry: F-43m, No. 216. The crystal system is cubic. The total energy is -28.7 eV per cell. The calculation puts the formation energy at -13.0 meV per atom. Its volume is 11.8 A^3/atom.

(12)
The following is a DFT calculation (PBE) of a relaxed structure of Ho2CoNi3.

Cell lengths 4.1352, 5.0580, 5.9392 Å; angles 115.20, 110.37, 90.00 degrees
Last column: magnetic moment on the atom in μB.
Atoms (fractional coordinates):
Ni1 0.0000 0.0000 0.0000  0.18
Ni2 0.3842 0.3842 0.7685  0.10
Ni3 0.6158 0.6158 0.2315  0.10
Co1 0.0000 0.5000 0.0000  1.46
Ho1 0.3122 0.8122 0.6244  -0.07
Ho2 0.6878 0.1878 0.3756  -0.07

As for the symmetry: Immm, No. 71. The crystal system is orthorhombic. The total energy is -33.7 eV per cell. The calculation puts the formation energy at -19.5 meV per atom. Its volume is 17.3 A^3/atom.

(13)
The following is a DFT calculation (PBE) of a relaxed structure of NiRuPt2.

Cell lengths 6.8282, 6.8282, 5.5122 Å; angles 51.73, 51.73, 90.00 degrees
Last column: magnetic moment on the atom in μB.
Atoms (fractional coordinates):
Ru1 0.7500 0.2500 0.5000  0.56
Ru2 0.0000 0.0000 0.0000  0.56
Pt1 0.1357 0.6250 0.2500  0.08
Pt2 0.3750 0.3857 0.7500  0.07
Pt3 0.8750 0.8643 0.7500  0.08
Pt4 0.6143 0.1250 0.2500  0.07
Ni1 0.2500 0.7500 0.5000  0.14
Ni2 0.5000 0.5000 0.0000  0.14

As for the symmetry: I-42d, No. 122. The crystal system is tetragonal. The calculation puts the relative energy among the computed polymorphs at 0.4955 eV per atom. The total energy is -50.5 eV per cell. The calculation puts the formation energy at 475.9 meV per atom. Its volume is 15.5 A^3/atom.

(14)
The following is a DFT calculation (PBE) of a relaxed structure of SrLaMnN4.

Cell lengths 5.8315, 5.4650, 7.2961 Å; angles 90.00, 106.00, 90.00 degrees
Atoms (fractional coordinates):
N1 0.5793 0.2500 0.8368
N2 0.0384 0.5029 0.2543
N3 0.0384 0.9971 0.2543
N4 0.6241 0.2500 0.4695
N5 0.4207 0.7500 0.1632
N6 0.3759 0.7500 0.5305
N7 0.9616 0.4971 0.7457
N8 0.9616 0.0029 0.7457
Mn1 0.2196 0.7500 0.2953
Mn2 0.7804 0.2500 0.7047
La1 0.2331 0.2500 0.5437
La2 0.7669 0.7500 0.4563
Sr1 0.7225 0.7500 0.9401
Sr2 0.2774 0.2500 0.0599

As for the symmetry: P2_1/m, No. 11. The crystal system is monoclinic. The raw formation energy comes out at -0.778 eV/atom. The total energy is -109.1 eV per cell. Its volume is 16.0 A^3/atom.

(15)
The following is a DFT calculation (PBE) of a relaxed structure of SmSc2Pa.

Cell lengths 3.3031, 3.3031, 11.2204 Å; angles 81.54, 81.54, 60.00 degrees
Atoms (fractional coordinates):
Sc1 0.0868 0.0868 0.7395
Sc2 0.2467 0.2467 0.2599
Sm1 0.6663 0.6663 0.0010
Pa1 0.5001 0.5001 0.4996

As for the symmetry: R3m, No. 160. The crystal system is trigonal. The calculation puts the relative energy among the computed polymorphs at 0.0000 eV per atom. The total energy is -26.5 eV per cell. The calculation puts the formation energy at 84.4 meV per atom. Its volume is 26.1 A^3/atom.

(16)
The following is a DFT calculation (PBE) of a relaxed structure of PrTmN2.

Cell lengths 3.4881, 3.4881, 6.3999 Å; angles 74.19, 74.19, 60.00 degrees
Atoms (fractional coordinates):
N1 0.0839 0.0839 0.7483
N2 0.2419 0.2419 0.2742
Tm1 0.5018 0.5018 0.4946
Pr1 0.6724 0.6724 0.9829

As for the symmetry: R3m, No. 160. The crystal system is trigonal. The raw formation energy comes out at -1.243 eV/atom. The total energy is -30.9 eV per cell. Its volume is 16.0 A^3/atom.

(17)
The following is a DFT calculation (PBE) of a relaxed structure of CrIn.

Cell lengths 4.9827, 4.9827, 6.0571 Å; angles 78.20, 78.20, 50.27 degrees
Last column: magnetic moment on the atom in μB.
Atoms (fractional coordinates):
Cr1 0.9745 0.9745 0.0742  3.12
Cr2 0.6263 0.6263 0.1768  -3.12
Cr3 0.6411 0.6411 0.7416  3.30
In1 0.3034 0.3034 0.9008  -0.06
In2 0.9830 0.9830 0.5612  -0.04
In3 0.3050 0.3050 0.3787  -0.02

As for the symmetry: Cm, No. 8. The crystal system is monoclinic. The total energy is -34.8 eV per cell. The calculation puts the formation energy at 379.2 meV per atom. Its volume is 18.8 A^3/atom.

(18)
The following is a DFT calculation (PBE) of a relaxed structure of SrScGaPt2.

Cell lengths 4.2510, 4.2510, 6.7066 Å; angles 108.48, 108.48, 90.00 degrees
Atoms (fractional coordinates):
Pt1 0.6139 0.6139 0.2278
Pt2 0.3861 0.3861 0.7722
Sc1 0.2500 0.7500 0.5000
Sr1 0.0000 0.0000 0.0000
Ga1 0.7500 0.2500 0.5000

As for the symmetry: I-4m2, No. 119. The crystal system is tetragonal. The total energy is -28.0 eV per cell. The calculation puts the formation energy at -977.7 meV per atom. Its volume is 21.7 A^3/atom.

(19)
The following is a DFT calculation (PBE) of a relaxed structure of Y2AgPt2.

Cell lengths 5.4008, 5.4008, 5.5967 Å; angles 61.15, 61.15, 90.00 degrees
Atoms (fractional coordinates):
Ag1 0.0000 0.0000 0.0000
Pt1 0.3428 0.3428 0.3145
Pt2 0.6572 0.6572 0.6855
Y1 0.7500 0.2500 0.5000
Y2 0.2500 0.7500 0.5000

As for the symmetry: I4/mmm, No. 139. The crystal system is tetragonal. The calculation puts the relative energy among the computed polymorphs at 0.2121 eV per atom. The total energy is -31.7 eV per cell. The calculation puts the formation energy at -776.5 meV per atom. Its volume is 23.9 A^3/atom.

(20)
The following is a DFT calculation (PBE) of a relaxed structure of CsTl10In3.

Cell lengths 11.2125, 11.2124, 11.2124 Å; angles 60.00, 60.00, 60.00 degrees
Atoms (fractional coordinates):
Tl1 0.0000 0.0000 0.3550
Tl2 0.6133 0.6133 0.1601
Tl3 0.3867 0.8399 0.3867
Tl4 0.6133 0.6133 0.6133
Tl5 0.0000 0.3550 0.6450
Tl6 0.8399 0.3867 0.3867
Tl7 0.0000 0.6450 0.3550
Tl8 0.6450 0.0000 0.0000
Tl9 0.0000 0.6450 0.0000
Tl10 0.0000 0.0000 0.6450
Tl11 0.6450 0.3550 0.0000
Tl12 0.3867 0.3867 0.3867
Tl13 0.0000 0.3550 0.0000
Tl14 0.1601 0.6133 0.6133
Tl15 0.3867 0.3867 0.8399
Tl16 0.3550 0.6450 0.0000
Tl17 0.3550 0.0000 0.0000
Tl18 0.6133 0.1601 0.6133
Tl19 0.3550 0.0000 0.6450
Tl20 0.6450 0.0000 0.3550
Cs1 0.2500 0.2500 0.2500
Cs2 0.7500 0.7500 0.7500
In1 0.2611 0.7389 0.7389
In2 0.7389 0.2611 0.7389
In3 0.2611 0.2611 0.7389
In4 0.7389 0.2611 0.2611
In5 0.7389 0.7389 0.2611
In6 0.2611 0.7389 0.2611

As for the symmetry: Fm-3m, No. 225. The crystal system is cubic. The total energy is -63.2 eV per cell. The calculation puts the formation energy at 81.1 meV per atom. Its volume is 35.6 A^3/atom.